[1]
This record from the Alexandria database describes Cd5Br after structural relaxation. The functional is PBE-GGA.

It has space group F-43m (No. 216), with a = 8.5351 Å, b = 8.5351 Å, c = 8.5351 Å, α = 90.00°, β = 90.00° and γ = 90.00°. The distinct sites, in fractional coordinates, are Cd at (0.0000, 0.0000, 0.0000), Cd at (0.1258, 0.1258, 0.6258) and Br at (0.2500, 0.2500, 0.2500).

The calculation puts the raw formation energy at 0.1 eV per formula unit. The value obtained for the magnetic moment is 0.0 μB/f.u.

=====

[2]
This record from the Alexandria database describes MgAg2Au7 after structural relaxation. The functional is PBE-GGA.

It has space group Cmmm (No. 65), with a = 7.4405 Å, b = 14.1203 Å, c = 4.4583 Å, α = 90.00°, β = 90.00° and γ = 90.00°. The distinct sites, in fractional coordinates, are Mg at (0.0000, 0.0000, 0.0000), Ag at (0.0000, 0.2955, 0.5000), Au at (0.0000, 0.1854, 0.0000), Au at (0.0000, 0.5000, 0.5000) and Au at (0.1857, 0.1019, 0.5000).

The value obtained for the magnetic moment is 0.0 μB/f.u. The total energy is -58.8 eV/cell.

=====

[3]
This record from the Alexandria database describes Y2RhW after structural relaxation. The functional is PBE-GGA.

It has space group I-42d (No. 122), with a = 7.7530 Å, b = 7.7530 Å, c = 5.9252 Å, α = 90.00°, β = 90.00° and γ = 90.00°. The distinct sites, in fractional coordinates, are Y at (0.2209, 0.2500, 0.1250), Rh at (0.0000, 0.0000, 0.0000) and W at (0.0000, 0.0000, 0.5000).

The value obtained for the magnetic moment is 0.0 μB/f.u. The total energy is -124.7 eV/cell.

=====

[4]
This record from the Alexandria database describes UCoSi after structural relaxation. The functional is PBE-GGA.

It has space group F-43m (No. 216), with a = 5.9996 Å, b = 5.9996 Å, c = 5.9996 Å, α = 90.00°, β = 90.00° and γ = 90.00°. The distinct sites, in fractional coordinates, are U at (0.0000, 0.0000, 0.0000), Co at (0.2500, 0.2500, 0.2500) and Si at (0.0000, 0.0000, 0.5000).

The calculation puts the raw formation energy at -0.9 eV per formula unit. The value obtained for the magnetic moment is 1.1 μB/f.u.

=====

[5]
This record from the Alexandria database describes TbTmAlRu after structural relaxation. The functional is PBE-GGA.

It has space group F-43m (No. 216), with a = 6.9736 Å, b = 6.9736 Å, c = 6.9736 Å, α = 90.00°, β = 90.00° and γ = 90.00°. The distinct sites, in fractional coordinates, are Tb at (0.0000, 0.0000, 0.0000), Tm at (0.0000, 0.0000, 0.5000), Al at (0.2500, 0.2500, 0.2500) and Ru at (0.2500, 0.2500, 0.7500).

The value obtained for the magnetic moment is 0.0 μB/f.u. The total energy is -94.4 eV/cell.

=====

[6]
This record from the Alexandria database describes Pm4GaGeTe2 after structural relaxation. The functional is PBE-GGA.

It has space group P2/m (No. 10), with a = 7.4279 Å, b = 4.3160 Å, c = 7.8324 Å, α = 90.00°, β = 108.60° and γ = 90.00°. The distinct sites, in fractional coordinates, are Pm at (0.2391, 0.0000, 0.2282), Pm at (0.2523, 0.5000, 0.7652), Ga at (0.5000, 0.0000, 0.0000), Ge at (0.0000, 0.5000, 0.0000), Te at (0.0000, 0.0000, 0.5000) and Te at (0.5000, 0.5000, 0.5000).

The calculation puts the raw formation energy at -8.6 eV per formula unit. The value obtained for the magnetic moment is 0.0 μB/f.u.